TmNi4B: optimized geometry, PBE.

POSCAR file:
```
TmNi4B
1.0
4.945 0.000 0.000
-2.472 4.282 0.000
0.000 0.000 6.942
Tm Ni B
2 8 2
direct
0.000 0.000 0.000
0.000 0.000 0.500
0.000 0.500 0.208
0.000 0.500 0.792
0.333 0.667 0.500
0.500 0.000 0.208
0.500 0.000 0.792
0.500 0.500 0.208
0.500 0.500 0.792
0.667 0.333 0.500
0.333 0.667 0.000
0.667 0.333 0.000
```

Symmetry   P6/mmm
Formation energy   -0.51 eV per atom
Fermi-level density of states   2.83 states/eV per cell
Spin magnetization   0.0 μB/f.u.